{
  "formula": "Li2PmNpCl8",
  "functional": "PBE",
  "state": "relaxed",
  "lattice_angstrom": [[6.319, 0.000, 0.000], [-0.385, 6.388, 0.000], [-0.027, -0.032, 8.210]],
  "species": ["Li", "Li", "Pm", "Np", "Cl", "Cl", "Cl", "Cl", "Cl", "Cl", "Cl", "Cl"],
  "fractional_positions": [[0.003, 0.004, 0.256], [0.997, 0.996, 0.744], [0.500, 0.500, 0.500], [0.500, 0.500, 0.000], [0.199, 0.182, 0.502], [0.200, 0.183, 0.007], [0.290, 0.687, 0.251], [0.293, 0.690, 0.749], [0.707, 0.310, 0.251], [0.710, 0.313, 0.749], [0.800, 0.817, 0.993], [0.801, 0.818, 0.498]],
  "total_magnetization_mub_per_fu": 4.00,
  "dos_at_fermi_per_ev_fu": 5.37,
  "crystal_system": "triclinic"
}

***

{
  "formula": "RbLi2NpCl6",
  "functional": "PBE",
  "state": "relaxed",
  "lattice_angstrom": [[6.921, -6.433, 0.000], [6.921, 6.433, 0.000], [-3.295, 0.000, 7.408]],
  "species": ["Rb", "Rb", "Li", "Li", "Li", "Li", "Np", "Np", "Cl", "Cl", "Cl", "Cl", "Cl", "Cl", "Cl", "Cl", "Cl", "Cl", "Cl", "Cl"],
  "fractional_positions": [[0.093, 0.907, 0.750], [0.907, 0.093, 0.250], [0.234, 0.372, 0.871], [0.372, 0.234, 0.371], [0.628, 0.766, 0.629], [0.766, 0.628, 0.129], [0.282, 0.718, 0.250], [0.718, 0.282, 0.750], [0.001, 0.240, 0.705], [0.196, 0.622, 0.886], [0.240, 0.001, 0.205], [0.282, 0.412, 0.197], [0.378, 0.804, 0.614], [0.412, 0.282, 0.697], [0.588, 0.718, 0.303], [0.622, 0.196, 0.386], [0.718, 0.588, 0.803], [0.760, 0.999, 0.795], [0.804, 0.378, 0.114], [0.999, 0.760, 0.295]],
  "total_magnetization_mub_per_fu": 4.00,
  "dos_at_fermi_per_ev_fu": 7.36,
  "crystal_system": "monoclinic"
}

***

| no. | raw total energy (eV/atom) |
| --- | --- |
| 1 | -4.915 |
| 2 | -4.672 |